GdPuCoAu after structural relaxation. Source: Alexandria, functional PBE-GGA.

Structure (POSCAR):
```
GdPuCoAu
1.0
0.0000 3.5187 3.5187
3.5187 0.0000 3.5187
3.5187 3.5187 0.0000
Gd Pu Co Au
1 1 1 1
direct
0.0000 0.0000 0.0000
0.5000 0.5000 0.5000
0.7500 0.7500 0.7500
0.2500 0.2500 0.2500
```

Summary:
Space-group type: F-43m (216)
Formation energy in meV/atom: -191
DFT total energy in eV/atom: -9.8904